# K3ScPd3O8

K3ScPd3O8 after structural relaxation (GGA-PBE, Alexandria).

Properties
formation energy from raw total energies: -1216 meV/atom
Fermi-level density of states: 0.287 states/eV/atom

abc: 6.543 6.543 6.985
angles: 113.84 113.84 56.72
Fractional coordinates of all 15 atoms:
K 0.000 0.000 0.000
K 0.000 0.500 0.000
K 0.500 0.000 0.000
Sc 0.000 0.000 0.500
Pd 0.000 0.500 0.500
Pd 0.500 0.000 0.500
Pd 0.500 0.500 0.500
O 0.215 0.698 0.657
O 0.216 0.216 0.671
O 0.236 0.236 0.300
O 0.302 0.785 0.343
O 0.698 0.215 0.657
O 0.764 0.764 0.700
O 0.784 0.784 0.329
O 0.785 0.302 0.343